[1]
Entry from Alexandria: a relaxed structure of Sm6Hg2Au (PBE).

abc: 8.9076 8.9076 5.1687
angles: 106.77 106.77 48.50
Closest atoms and distances in Å follow each position.
Fractional positions:
Sm  0.0826  0.5910  0.3369  1 Au 3.09, 3 Hg 3.18
Sm  0.2406  0.7594  0.0000  2 Au 3.13, 2 Hg 3.19
Sm  0.4090  0.9174  0.6631  1 Au 3.09, 3 Hg 3.18
Sm  0.5910  0.0826  0.3369  1 Au 3.09, 3 Hg 3.18
Sm  0.7594  0.2406  0.0000  2 Au 3.13, 2 Hg 3.19
Sm  0.9174  0.4090  0.6631  1 Au 3.09, 3 Hg 3.18
Hg  0.3334  0.3334  0.8335  8 Sm 3.18-3.19
Hg  0.6666  0.6666  0.1665  8 Sm 3.18-3.19
Au  0.0000  0.0000  0.5000  8 Sm 3.09-3.13

- DFT total energy: -33.92 eV/cell
- DOS(E_F): 1.77 states/eV/atom
- Density: 8.55 g/cm3
- Space-group type: C2/m (12)

***

[2]
Entry from Alexandria: a relaxed structure of TlTcPPt2 (PBE).

abc: 5.0489 5.0489 4.9019
angles: 90.00 90.00 90.00
Closest atoms and distances in Å follow each position.
Fractional positions:
Tl  0.0000  0.0000  0.0000  2 P 2.45, 4 Pt 2.52
Tc  0.5000  0.5000  0.5000  8 Pt 3.52, 4 P 3.57
P  0.0000  0.0000  0.5000  2 Tl 2.45
Pt  0.0000  0.5000  0.0000  2 Tl 2.52
Pt  0.5000  0.0000  0.0000  2 Tl 2.52

- DFT total energy: -21.18 eV/cell
- DOS(E_F): 0.63 states/eV/atom
- Density: 9.61 g/cm3
- Space-group type: P4/mmm (123)